La2Cu3Rh, relaxed, DFT PBE-GGA; calculated formation energy = -351 meV per atom; space group = Pmm2; Fermi-level density of states = 0.686 states/eV/atom
1.0
3.916 0.000 0.000
0.000 4.311 0.000
0.000 0.000 7.536
La Cu Rh
2 3 1
Direct
0.000 0.000 0.000 La
0.000 0.500 0.470 La
0.500 0.000 0.658 Cu
0.500 0.500 0.141 Cu
0.500 0.500 0.816 Cu
0.500 0.000 0.321 Rh